SrCrTe2Pt: relaxed, PBEsol.

Output
Space-group type ... P4/mmm (123)
Formation energy (no corrections) ... 480 meV/atom
Calculated total energy ... -4.7394 eV per atom
DOS(E_F) ... 0.897 states/eV per atom
Crystal system ... tetragonal

The structure in POSCAR format:
```
SrCrTe2Pt
1.0
-1.283 2.467 3.974
-4.663 -0.995 -0.887
0.400 -4.460 2.897
Pt Sr Te Cr
1 1 2 1
direct
0.500 0.500 0.500
0.000 0.000 0.500
0.500 0.000 0.000
0.000 0.500 0.000
0.000 0.000 0.000
```

Ga3RhC: relaxed, PBEsol.

Output
Space-group type ... Pm-3m (221)
Calculated total energy ... -4.9233 eV per atom
DOS(E_F) ... 0.585 states/eV per atom
Crystal system ... cubic
Energy of formation from the pure elements ... 637 meV per atom

The structure in POSCAR format:
```
Ga3RhC
1.0
4.110 0.000 0.000
0.000 4.110 0.000
0.000 0.000 4.110
Ga Rh C
3 1 1
direct
0.500 0.000 0.000
0.000 0.000 0.500
0.000 0.500 0.000
0.500 0.500 0.500
0.000 0.000 0.000
```